Entry 1:
This record from the Alexandria database describes a relaxed CaZn2Au2 crystal. The functional is PBE.

Cell: 4.4542 4.4542 10.5339 Å, 90.00 90.00 90.00°
Last column: nearest neighbours and their distance in Å.
Atoms (fractional coordinates):
Ca: 0.2500 0.2500 0.2451  8 Zn 3.38-3.49, 8 Au 3.40-3.41
Ca: 0.7500 0.7500 0.7549  8 Zn 3.38-3.49, 8 Au 3.40-3.41
Zn: 0.2500 0.2500 0.8712  5 Au 2.51-2.61
Zn: 0.2500 0.7500 0.5000  4 Au 2.63
Zn: 0.7500 0.2500 0.5000  4 Au 2.63
Zn: 0.7500 0.7500 0.1288  5 Au 2.51-2.61
Au: 0.2500 0.2500 0.6326  5 Zn 2.51-2.63
Au: 0.2500 0.7500 0.0000  4 Zn 2.61
Au: 0.7500 0.2500 0.0000  4 Zn 2.61
Au: 0.7500 0.7500 0.3674  5 Zn 2.51-2.63

Calculated values
space group	No. 129
DFT formation energy	-0.48	eV per atom
excess energy over the best structure of this formula in the dataset	0.022	eV per atom

Entry 2:
This record from the Alexandria database describes a relaxed ZnAg2Pt crystal. The functional is PBE.

Cell: 2.8743 2.8743 27.3722 Å, 90.00 90.00 120.00°
Last column: nearest neighbours and their distance in Å.
Atoms (fractional coordinates):
Zn: 0.0000 0.0000 0.0000  3 Pt 2.66, 3 Ag 2.76, 6 Zn 2.87
Zn: 0.3333 0.6667 0.6667  3 Pt 2.66, 3 Ag 2.76, 6 Zn 2.87
Zn: 0.6667 0.3333 0.3333  3 Pt 2.66, 3 Ag 2.76, 6 Zn 2.87
Ag: 0.0000 0.0000 0.5030  9 Ag 2.87-2.95, 3 Pt 2.92
Ag: 0.0000 0.0000 0.7470  3 Zn 2.76, 9 Ag 2.87-2.95
Ag: 0.3333 0.6667 0.1696  9 Ag 2.87-2.95, 3 Pt 2.92
Ag: 0.3333 0.6667 0.4137  3 Zn 2.76, 9 Ag 2.87-2.95
Ag: 0.6667 0.3333 0.0804  3 Zn 2.76, 9 Ag 2.87-2.95
Ag: 0.6667 0.3333 0.8363  9 Ag 2.87-2.95, 3 Pt 2.92
Pt: 0.0000 0.0000 0.2573  3 Zn 2.66, 6 Pt 2.87, 3 Ag 2.92
Pt: 0.3333 0.6667 0.9240  3 Zn 2.66, 6 Pt 2.87, 3 Ag 2.92
Pt: 0.6667 0.3333 0.5906  3 Zn 2.66, 6 Pt 2.87, 3 Ag 2.92

Calculated values
space group	No. 160
DFT formation energy	-0.14	eV per atom

- What is the DFT formation energy in the first record?
  -0.48 eV per atom